No. 1
Computed, not measured: a relaxed MgSc2TlCo crystal at the PBE level of DFT.

a b c (Å): 4.7586 4.7586 4.9364
angles (deg): 90.00 90.00 90.00
Closest atoms and distances in Å follow each position.
Element x y z (fractional)
Sc  0.5000  0.0000  0.0000  2 Co 2.38
Mg  0.0000  0.0000  0.5000  2 Co 2.47
Co  0.0000  0.0000  0.0000  4 Sc 2.38, 2 Mg 2.47
Sc  0.0000  0.5000  0.0000  2 Co 2.38
Tl  0.5000  0.5000  0.5000  4 Mg 3.36, 8 Sc 3.43

Computed properties:
**Symmetry**: P4/mmm (123)
**ΔE_f**: -74 meV per atom

No. 2
Computed, not measured: a relaxed KGaSi2Bi crystal at the PBE level of DFT.

a b c (Å): 5.0324 5.6623 5.0324
angles (deg): 90.00 90.00 90.00
Closest atoms and distances in Å follow each position.
Element x y z (fractional)
Bi  0.0000  0.5000  0.0000  2 Ga 2.83
Si  0.5000  0.0000  0.0000  2 Ga 2.52
Ga  0.0000  0.0000  0.0000  4 Si 2.52
Si  0.0000  0.0000  0.5000  2 Ga 2.52
K  0.5000  0.5000  0.5000  4 Bi 3.56, 8 Si 3.79

Computed properties:
**Formation energy without anion corrections**: 559 meV per atom
**Symmetry**: P4/mmm (123)

No. 3
Computed, not measured: a relaxed In2CuOs crystal at the PBE level of DFT.

a b c (Å): 5.2793 5.2793 4.5620
angles (deg): 71.62 71.62 35.60
Closest atoms and distances in Å follow each position.
Element x y z (fractional)
Cu  0.7694  0.7694  0.7808  2 Os 2.73, 7 In 2.77-2.95
In  0.0098  0.0098  0.9493  3 Cu 2.77-2.95, 4 Os 2.78-2.82, 1 In 3.03
Os  0.4880  0.4880  0.4590  2 Cu 2.73, 7 In 2.78-2.86
In  0.2329  0.2329  0.3108  4 Cu 2.80-2.83, 3 Os 2.83-2.86, 1 In 3.03

Computed properties:
**Symmetry**: Cm (8)
**ΔE_f**: 306 meV per atom

No. 4
Computed, not measured: a relaxed Sr2Al3Pd2 crystal at the PBE level of DFT.

a b c (Å): 4.2082 6.1118 7.6908
angles (deg): 118.39 90.00 110.14
Closest atoms and distances in Å follow each position.
Element x y z (fractional)
Al  0.5000  0.0000  0.0000  4 Pd 2.60, 2 Al 2.87
Sr  0.8650  0.7300  0.2367  4 Pd 3.13-3.46, 3 Al 3.40-3.41
Al  0.6574  0.3148  0.4320  3 Pd 2.62-2.63, 3 Al 2.79-2.87
Pd  0.1272  0.2544  0.2070  5 Al 2.60-2.63
Al  0.3426  0.6852  0.5680  3 Pd 2.62-2.63, 3 Al 2.79-2.87
Pd  0.8728  0.7456  0.7930  5 Al 2.60-2.63
Sr  0.1350  0.2700  0.7633  4 Pd 3.13-3.46, 3 Al 3.40-3.41

Computed properties:
**Symmetry**: C2/m (12)
**ΔE_f**: -636 meV per atom

No. 5
Computed, not measured: a relaxed Pr2UGe3Rh4 crystal at the PBE level of DFT.

a b c (Å): 4.2739 4.2739 10.8802
angles (deg): 90.00 90.00 90.00
Closest atoms and distances in Å follow each position.
Element x y z (fractional)
Ge  0.0000  0.5000  0.1227  5 Rh 2.50-2.52
Pr  0.0000  0.5000  0.7704  4 Ge 3.24, 8 Rh 3.29-3.31
Rh  0.0000  0.0000  0.0000  4 Ge 2.52
Rh  0.0000  0.5000  0.3526  3 Ge 2.50-2.67, 2 U 2.67
Ge  0.0000  0.0000  0.5000  4 Rh 2.67
Rh  0.5000  0.0000  0.6474  3 Ge 2.50-2.67, 2 U 2.67
Ge  0.5000  0.0000  0.8773  5 Rh 2.50-2.52
Rh  0.5000  0.5000  0.0000  4 Ge 2.52
U  0.5000  0.5000  0.5000  4 Rh 2.67
Pr  0.5000  0.0000  0.2296  4 Ge 3.24, 8 Rh 3.29-3.31

Computed properties:
**Symmetry**: P-4m2 (115)
**ΔE_f**: -776 meV per atom

No. 6
Computed, not measured: a relaxed BaReHg2 crystal at the PBE level of DFT.

a b c (Å): 4.6099 4.7369 4.7369
angles (deg): 90.00 90.00 90.00
Closest atoms and distances in Å follow each position.
Element x y z (fractional)
Hg  0.0000  0.0000  0.0000  4 Ba 3.30, 4 Re 3.30, 4 Hg 3.35
Hg  0.0000  0.5000  0.5000  4 Ba 3.30, 4 Re 3.30, 4 Hg 3.35
Re  0.5000  0.5000  0.0000  8 Hg 3.30, 4 Ba 3.35
Ba  0.5000  0.0000  0.5000  8 Hg 3.30, 4 Re 3.35

Computed properties:
**Symmetry**: P4/mmm (123)
**ΔE_f**: 885 meV per atom

No. 7
Computed, not measured: a relaxed KBiP2O8 crystal at the PBE level of DFT.

a b c (Å): 4.9941 4.9941 8.7548
angles (deg): 90.00 90.00 120.00
Closest atoms and distances in Å follow each position.
Element x y z (fractional)
O  0.0470  0.3620  0.6540  1 P 1.57
P  0.3333  0.6667  0.7161  4 O 1.50-1.57
Bi  0.0000  0.0000  0.5000  6 O 2.17
O  0.9530  0.6380  0.3460  1 P 1.57
K  0.0000  0.0000  0.0000  6 O 3.05
O  0.6667  0.3333  0.1121  1 P 1.50
P  0.6667  0.3333  0.2839  4 O 1.50-1.57
O  0.3333  0.6667  0.8879  1 P 1.50
O  0.6849  0.0470  0.3460  1 P 1.57
O  0.3151  0.9530  0.6540  1 P 1.57
O  0.6380  0.6849  0.6540  1 P 1.57
O  0.3620  0.3151  0.3460  1 P 1.57

Computed properties:
**Formation energy without anion corrections**: -1807 meV per atom
**Symmetry**: P-3 (147)

No. 8
Computed, not measured: a relaxed NdCuHg crystal at the PBE level of DFT.

a b c (Å): 3.7029 3.7029 5.6404
angles (deg): 109.16 109.16 90.00
Closest atoms and distances in Å follow each position.
Element x y z (fractional)
Cu  0.2692  0.2692  0.5383  4 Hg 2.94, 5 Nd 3.16-3.23
Nd  0.9457  0.9457  0.8914  5 Hg 3.10-3.23, 5 Cu 3.16-3.23
Hg  0.6352  0.6352  0.2703  4 Cu 2.94, 5 Nd 3.10-3.23

Computed properties:
**Symmetry**: I4mm (107)
**ΔE_f**: -193 meV per atom

No. 9
Computed, not measured: a relaxed RbSbIr2Os crystal at the PBE level of DFT.

a b c (Å): 4.9556 5.0732 4.9556
angles (deg): 90.00 90.00 90.00
Closest atoms and distances in Å follow each position.
Element x y z (fractional)
Os  0.0000  0.0000  0.0000  4 Ir 2.48, 2 Sb 2.54
Ir  0.0000  0.0000  0.5000  2 Os 2.48
Rb  0.5000  0.5000  0.5000  4 Sb 3.50, 8 Ir 3.55
Ir  0.5000  0.0000  0.0000  2 Os 2.48
Sb  0.0000  0.5000  0.0000  2 Os 2.54

Computed properties:
**Formation energy without anion corrections**: 1106 meV per atom
**Symmetry**: P4/mmm (123)

No. 10
Computed, not measured: a relaxed Pu5AgRu4 crystal at the PBE level of DFT.

a b c (Å): 3.3020 3.3020 18.6204
angles (deg): 90.00 90.00 90.00
Closest atoms and distances in Å follow each position.
Element x y z (fractional)
Ru  0.0000  0.0000  0.5945  8 Pu 2.92
Pu  0.5000  0.5000  0.5000  8 Ru 2.92
Pu  0.5000  0.5000  0.3114  8 Ru 2.92-2.94
Ru  0.0000  0.0000  0.4055  8 Pu 2.92
Ru  0.0000  0.0000  0.7848  8 Pu 2.90-2.94
Ag  0.0000  0.0000  0.0000  8 Pu 3.27, 4 Ag 3.30
Pu  0.5000  0.5000  0.6886  8 Ru 2.92-2.94
Pu  0.5000  0.5000  0.1226  4 Ru 2.90
Pu  0.5000  0.5000  0.8774  4 Ru 2.90
Ru  0.0000  0.0000  0.2152  8 Pu 2.90-2.94

Computed properties:
**Symmetry**: P4/mmm (123)
**ΔE_f**: -131 meV per atom

No. 11
Computed, not measured: a relaxed MnFePt2Br crystal at the PBE level of DFT.

a b c (Å): 4.7508 4.4316 4.7508
angles (deg): 90.00 90.00 90.00
Closest atoms and distances in Å follow each position.
Element x y z (fractional)
Pt  0.0000  0.0000  0.5000  2 Br 2.38
Fe  0.5000  0.5000  0.5000  8 Pt 3.25, 4 Mn 3.36
Br  0.0000  0.0000  0.0000  2 Mn 2.22, 4 Pt 2.38
Pt  0.5000  0.0000  0.0000  2 Br 2.38
Mn  0.0000  0.5000  0.0000  2 Br 2.22

Computed properties:
**Formation energy without anion corrections**: 1270 meV per atom
**Symmetry**: P4/mmm (123)

No. 12
Computed, not measured: a relaxed Tb2InTe crystal at the PBE level of DFT.

a b c (Å): 3.6740 3.6740 8.1598
angles (deg): 90.00 90.00 90.00
Closest atoms and distances in Å follow each position.
Element x y z (fractional)
Tb  0.0000  0.0000  0.2400  4 Te 3.25, 4 In 3.35
In  0.5000  0.5000  0.5000  8 Tb 3.35, 4 In 3.67
Te  0.5000  0.5000  0.0000  8 Tb 3.25
Tb  0.0000  0.0000  0.7600  4 Te 3.25, 4 In 3.35

Computed properties:
**Formation energy without anion corrections**: -754 meV per atom
**Symmetry**: P4/mmm (123)

No. 13
Computed, not measured: a relaxed Sm2TmOs crystal at the PBE level of DFT.

a b c (Å): 3.5087 3.5087 11.0236
angles (deg): 80.84 80.84 60.00
Closest atoms and distances in Å follow each position.
Element x y z (fractional)
Sm  0.1048  0.1048  0.6855  3 Os 2.85
Sm  0.8952  0.8952  0.3145  3 Os 2.85
Os  0.5000  0.5000  0.5000  6 Sm 2.85
Tm  0.0000  0.0000  0.0000  2 Sm 3.41, 6 Tm 3.51

Computed properties:
**Symmetry**: R-3m (166)
**ΔE_f**: 362 meV per atom

No. 14
Computed, not measured: a relaxed Tb2PrHg2Pb2 crystal at the PBE level of DFT.

a b c (Å): 5.1032 5.1032 9.5108
angles (deg): 74.44 74.44 60.00
Closest atoms and distances in Å follow each position.
Element x y z (fractional)
Tb  0.8684  0.8684  0.3947  3 Hg 3.04
Pr  0.0000  0.0000  0.0000  6 Pb 3.41, 2 Tb 3.57
Hg  0.5629  0.5629  0.3113  3 Tb 3.04, 3 Pb 3.15
Pb  0.2701  0.2701  0.1896  3 Hg 3.15, 3 Pr 3.41, 3 Tb 3.48
Tb  0.1316  0.1316  0.6053  3 Hg 3.04
Pb  0.7299  0.7299  0.8104  3 Hg 3.15, 3 Pr 3.41, 3 Tb 3.48
Hg  0.4371  0.4371  0.6887  3 Tb 3.04, 3 Pb 3.15

Computed properties:
**Symmetry**: R-3m (166)
**ΔE_f**: -260 meV per atom

No. 15
Computed, not measured: a relaxed Rb8HBr3Cl3 crystal at the PBE level of DFT.

a b c (Å): 9.6307 9.6290 9.6705
angles (deg): 119.87 90.00 120.01
Closest atoms and distances in Å follow each position.
Element x y z (fractional)
Cl  0.5000  0.0000  0.5000  6 Rb 3.36
Rb  0.7534  0.9924  0.7313  1 H 3.26, 2 Cl 3.36, 2 Br 3.47
Rb  0.2539  0.5077  0.2617  3 Cl 3.36, 3 Br 3.46-3.47
H  0.0000  0.0000  0.5000  6 Rb 3.26
Rb  0.7610  0.0076  0.2687  1 H 3.26, 2 Cl 3.36, 2 Br 3.47
Rb  0.2387  0.4774  0.7311  1 H 3.26, 2 Cl 3.36, 2 Br 3.47
Rb  0.2466  0.0076  0.2687  1 H 3.26, 2 Cl 3.36, 2 Br 3.47
Rb  0.7613  0.5226  0.2689  1 H 3.26, 2 Cl 3.36, 2 Br 3.47
Cl  0.5000  0.5000  0.5000  6 Rb 3.36
Rb  0.7461  0.4923  0.7383  3 Cl 3.36, 3 Br 3.46-3.47
Br  0.0000  0.5000  0.0000  6 Rb 3.47
Cl  0.0000  0.5000  0.5000  6 Rb 3.36
Rb  0.2390  0.9924  0.7313  1 H 3.26, 2 Cl 3.36, 2 Br 3.47
Br  0.5000  0.5000  0.0000  6 Rb 3.47
Br  0.0000  0.0000  0.0000  6 Rb 3.46-3.47

Computed properties:
**Symmetry**: R-3m (166)

No. 16
Computed, not measured: a relaxed HgSb2Br crystal at the PBE level of DFT.

a b c (Å): 6.3135 3.2945 6.7360
angles (deg): 59.53 90.00 90.00
Closest atoms and distances in Å follow each position.
Element x y z (fractional)
Sb  0.0000  0.0976  0.1259  2 Br 2.88-2.96, 2 Sb 3.16
Sb  0.5000  0.1652  0.1268  2 Hg 2.91, 2 Sb 3.16
Br  0.0000  0.5084  0.6205  2 Sb 2.88-2.96
Hg  0.5000  0.7288  0.6268  2 Sb 2.91, 2 Br 3.24

Computed properties:
**Formation energy without anion corrections**: -35 meV per atom
**Symmetry**: Pm (6)

No. 17
Computed, not measured: a relaxed Dy4GeCSe2 crystal at the PBE level of DFT.

a b c (Å): 3.9114 6.9449 7.0465
angles (deg): 108.71 90.00 90.00
Closest atoms and distances in Å follow each position.
Element x y z (fractional)
Se  0.5000  0.0000  0.5000  6 Dy 3.04-3.07
Se  0.0000  0.5000  0.5000  6 Dy 2.86-2.91
Dy  0.5000  0.2650  0.2253  1 C 2.62, 2 Ge 2.80, 2 Se 2.86
Dy  0.5000  0.7350  0.7747  1 C 2.62, 2 Ge 2.80, 2 Se 2.86
Ge  0.0000  0.0000  0.0000  6 Dy 2.80-2.81
C  0.5000  0.5000  0.0000  6 Dy 2.62
Dy  0.0000  0.7186  0.2107  2 C 2.62, 1 Ge 2.81, 1 Se 2.91
Dy  0.0000  0.2814  0.7893  2 C 2.62, 1 Ge 2.81, 1 Se 2.91

Computed properties:
**Formation energy without anion corrections**: -1209 meV per atom
**Symmetry**: P2/m (10)

No. 18
Computed, not measured: a relaxed Na3Tl3GeS8 crystal at the PBE level of DFT.

a b c (Å): 7.7137 7.7218 8.1832
angles (deg): 118.19 90.00 119.97
Closest atoms and distances in Å follow each position.
Element x y z (fractional)
Na  0.0000  0.5000  0.0000  6 S 2.90-2.93
Ge  0.0000  0.0000  0.5000  6 S 2.47
S  0.2203  0.4406  0.7109  1 Ge 2.47, 2 Tl 2.76
S  0.7413  0.4825  0.7231  3 Tl 2.70-2.71, 3 Na 2.93
Tl  0.0000  0.5000  0.5000  6 S 2.70-2.76
S  0.7797  0.5594  0.2891  1 Ge 2.47, 2 Tl 2.76
Na  0.0000  0.0000  0.0000  6 S 2.91-2.93
Na  0.5000  0.5000  0.0000  6 S 2.90-2.93
S  0.2293  0.0087  0.2888  1 Ge 2.47, 2 Tl 2.76
S  0.2205  0.9913  0.7112  1 Ge 2.47, 2 Tl 2.76
Tl  0.5000  0.5000  0.5000  6 S 2.70-2.76
S  0.7795  0.0087  0.2888  1 Ge 2.47, 2 Tl 2.76
S  0.7707  0.9913  0.7112  1 Ge 2.47, 2 Tl 2.76
S  0.2587  0.5175  0.2769  3 Tl 2.70-2.71, 3 Na 2.93
Tl  0.5000  0.0000  0.5000  6 S 2.71-2.76

Computed properties:
**Formation energy without anion corrections**: -440 meV per atom
**Symmetry**: C2/m (12)

No. 19
Computed, not measured: a relaxed CsSrPd4 crystal at the PBE level of DFT.

a b c (Å): 5.6981 5.6981 5.6981
angles (deg): 60.00 60.00 60.00
Closest atoms and distances in Å follow each position.
Element x y z (fractional)
Pd  0.6256  0.1232  0.6256  6 Pd 2.84-2.86
Pd  0.1232  0.6256  0.6256  6 Pd 2.84-2.86
Sr  0.0000  0.0000  0.0000  12 Pd 3.34, 4 Cs 3.49
Pd  0.6256  0.6256  0.1232  6 Pd 2.84-2.86
Pd  0.6256  0.6256  0.6256  6 Pd 2.84-2.86
Cs  0.2500  0.2500  0.2500  12 Pd 3.34, 4 Sr 3.49

Computed properties:
**Symmetry**: F-43m (216)
**ΔE_f**: -246 meV per atom

No. 20
Computed, not measured: a relaxed NaCd2Ag5 crystal at the PBE level of DFT.

a b c (Å): 5.8727 5.8728 5.8728
angles (deg): 105.89 105.89 116.89
Closest atoms and distances in Å follow each position.
Element x y z (fractional)
Cd  0.7776  0.2779  0.4998  8 Ag 2.94, 2 Cd 3.07
Ag  0.2778  0.2782  0.5005  4 Ag 2.93-3.07, 4 Cd 2.94, 2 Na 2.94
Ag  0.2781  0.7773  0.0000  4 Ag 2.93-3.07, 2 Na 2.94, 4 Cd 2.94
Ag  0.7779  0.2780  0.0000  4 Ag 2.93-3.07, 4 Cd 2.94, 2 Na 2.94
Ag  0.7774  0.7777  0.4995  4 Ag 2.93-3.07, 4 Cd 2.94, 2 Na 2.94
Cd  0.2778  0.7781  0.5002  8 Ag 2.94, 2 Cd 3.07
Na  0.7786  0.7783  0.0000  10 Ag 2.94-3.08
Ag  0.2780  0.2775  0.0000  8 Ag 2.93-2.94, 2 Na 3.07-3.08

Computed properties:
**Symmetry**: I4mm (107)
**ΔE_f**: -26 meV per atom

no.,calculated total energy (eV/atom)
1,-4.82
2,-3.21
3,-4.89
4,-4.20
5,-7.19
6,-2.86
7,-6.43
8,-3.25
9,-5.70
10,-11.29
11,-5.01
12,-4.54
13,-5.92
14,-3.41
15,-2.91
16,-2.59
17,-6.11
18,-3.69
19,-4.13
20,-2.20